Compound: Ho8SiPb2
Source: Alexandria
Functional: GGA-PBE
Structure: relaxed

The structure belongs to space group C2/m (No. 12); the cell edges are 19.449, 4.997 and 6.682 Å and the angles 90.00°, 104.16° and 90.00°. The distinct sites, in fractional coordinates, are Ho at (0.020, 0.000, 0.277), Ho at (0.088, 0.500, 0.962), Ho at (0.149, 0.500, 0.506), Ho at (0.218, 0.000, 0.826), Si at (0.000, 0.500, 0.500) and Pb at (0.181, 0.000, 0.264).

The total energy is -0.1757 Ha/atom.